1.
## RbPaOs (PBE-GGA)

Data for an optimized crystal structure of RbPaOs.

Output
- Relative energy among the computed polymorphs: 0.000 eV per atom
- E: -71.42 eV for the cell shown

Lattice parameters (Å, degrees): 6.903 6.903 6.903 90.00 90.00 90.00
Space group F-43m (No. 216)
Inequivalent atoms, fractional coordinates:
Rb (0.000, 0.000, 0.000) x4
Pa (0.000, 0.000, 0.500) x4
Os (0.250, 0.250, 0.750) x4

2.
## ScPaOs (PBE-GGA)

Data for an optimized crystal structure of ScPaOs.

Output
- Relative energy among the computed polymorphs: 0.000 eV per atom
- E: -109.62 eV for the cell shown
- Energy of formation: -0.355 eV per formula unit

Lattice parameters (Å, degrees): 6.564 6.564 6.564 90.00 90.00 90.00
Space group F-43m (No. 216)
Inequivalent atoms, fractional coordinates:
Sc (0.000, 0.000, 0.000) x4
Pa (0.000, 0.000, 0.500) x4
Os (0.250, 0.250, 0.750) x4

3.
## ScPaOs (PBE-GGA)

Data for an optimized crystal structure of ScPaOs.

Output
- Relative energy among the computed polymorphs: 0.646 eV per atom
- E: -101.87 eV for the cell shown
- Energy of formation: 1.582 eV per formula unit

Lattice parameters (Å, degrees): 6.448 6.448 6.448 90.00 90.00 90.00
Space group F-43m (No. 216)
Inequivalent atoms, fractional coordinates:
Sc (0.000, 0.000, 0.000) x4
Pa (0.250, 0.250, 0.750) x4
Os (0.000, 0.000, 0.500) x4

no.,total magnetization (Bohr magnetons per cell)
1,0.03
2,3.92
3,0.09